Record 1
The following is a PBE calculation of crystalline LaTiAsBr2 at its relaxed geometry, from the Alexandria database.

abc: 5.692 5.692 5.925
angles: 90.00 90.00 90.00
Atoms (fractional coordinates):
La 0.000 0.000 0.000
Ti 0.500 0.500 0.500
As 0.000 0.000 0.500
Br 0.000 0.500 0.000
Br 0.500 0.000 0.000

* total DFT energy (no corrections): -4.37 eV/atom
* space-group type: P4/mmm (123)
* raw formation energy: -1.0 eV per formula unit


Record 2
The following is a PBE calculation of crystalline LaTlAs2Br at its relaxed geometry, from the Alexandria database.

abc: 5.260 5.260 5.596
angles: 90.00 90.00 90.00
Atoms (fractional coordinates):
La 0.000 0.000 0.000
Tl 0.500 0.500 0.500
As 0.000 0.500 0.500
As 0.500 0.000 0.500
Br 0.500 0.500 0.000

* total DFT energy (no corrections): -3.74 eV/atom
* space-group type: P4/mmm (123)
* raw formation energy: -0.4 eV per formula unit


Record 3
The following is a PBE calculation of crystalline LaTlAs2Br at its relaxed geometry, from the Alexandria database.

abc: 5.771 5.771 5.906
angles: 90.00 90.00 90.00
Atoms (fractional coordinates):
La 0.000 0.000 0.000
Tl 0.500 0.500 0.500
As 0.000 0.500 0.000
As 0.500 0.000 0.000
Br 0.000 0.000 0.500

* total DFT energy (no corrections): -3.89 eV/atom
* space-group type: P4/mmm (123)
* raw formation energy: -1.2 eV per formula unit


Record 4
The following is a PBE calculation of crystalline LaVAs2Br at its relaxed geometry, from the Alexandria database.

abc: 4.818 4.818 5.133
angles: 90.00 90.00 90.00
Atoms (fractional coordinates):
La 0.000 0.000 0.000
V 0.500 0.500 0.500
As 0.000 0.500 0.500
As 0.500 0.000 0.500
Br 0.500 0.500 0.000

* total DFT energy (no corrections): -5.61 eV/atom
* space-group type: P4/mmm (123)
* raw formation energy: -3.1 eV per formula unit


Record 5
The following is a PBE calculation of crystalline LaVAsBr2 at its relaxed geometry, from the Alexandria database.

abc: 4.906 4.906 4.957
angles: 90.00 90.00 90.00
Atoms (fractional coordinates):
La 0.000 0.000 0.000
V 0.500 0.500 0.500
As 0.500 0.500 0.000
Br 0.000 0.500 0.500
Br 0.500 0.000 0.500

* total DFT energy (no corrections): -5.05 eV/atom
* space-group type: P4/mmm (123)
* raw formation energy: -3.2 eV per formula unit


Record 6
The following is a PBE calculation of crystalline LaAsW2Br at its relaxed geometry, from the Alexandria database.

abc: 4.650 4.650 6.039
angles: 90.00 90.00 90.00
Atoms (fractional coordinates):
La 0.000 0.000 0.000
As 0.500 0.500 0.500
W 0.000 0.500 0.500
W 0.500 0.000 0.500
Br 0.500 0.500 0.000

* total DFT energy (no corrections): -6.55 eV/atom
* space-group type: P4/mmm (123)
* raw formation energy: 4.4 eV per formula unit


Record 7
The following is a PBE calculation of crystalline LaYAsBr2 at its relaxed geometry, from the Alexandria database.

abc: 5.627 5.627 6.012
angles: 90.00 90.00 90.00
Atoms (fractional coordinates):
La 0.000 0.000 0.000
Y 0.500 0.500 0.500
As 0.000 0.000 0.500
Br 0.000 0.500 0.000
Br 0.500 0.000 0.000

* total DFT energy (no corrections): -4.56 eV/atom
* space-group type: P4/mmm (123)
* raw formation energy: -3.4 eV per formula unit


Record 8
The following is a PBE calculation of crystalline LaYAsBr2 at its relaxed geometry, from the Alexandria database.

abc: 5.362 5.362 5.631
angles: 90.00 90.00 90.00
Atoms (fractional coordinates):
La 0.000 0.000 0.000
Y 0.500 0.500 0.500
As 0.500 0.500 0.000
Br 0.000 0.500 0.500
Br 0.500 0.000 0.500

* total DFT energy (no corrections): -4.87 eV/atom
* space-group type: P4/mmm (123)
* raw formation energy: -5.0 eV per formula unit


Record 9
The following is a PBE calculation of crystalline LaYAs2Br at its relaxed geometry, from the Alexandria database.

abc: 5.421 5.421 5.291
angles: 90.00 90.00 90.00
Atoms (fractional coordinates):
La 0.000 0.000 0.000
Y 0.500 0.500 0.500
As 0.000 0.500 0.500
As 0.500 0.000 0.500
Br 0.500 0.500 0.000

* total DFT energy (no corrections): -5.28 eV/atom
* space-group type: P4/mmm (123)
* raw formation energy: -4.0 eV per formula unit


Record 10
The following is a PBE calculation of crystalline LaYAs2Br at its relaxed geometry, from the Alexandria database.

abc: 5.646 5.646 5.492
angles: 90.00 90.00 90.00
Atoms (fractional coordinates):
La 0.000 0.000 0.000
Y 0.500 0.500 0.500
As 0.000 0.500 0.000
As 0.500 0.000 0.000
Br 0.000 0.000 0.500

* total DFT energy (no corrections): -4.80 eV/atom
* space-group type: P4/mmm (123)
* raw formation energy: -1.6 eV per formula unit


Record 11
The following is a PBE calculation of crystalline LaZnAsBr2 at its relaxed geometry, from the Alexandria database.

abc: 5.876 5.876 6.174
angles: 90.00 90.00 90.00
Atoms (fractional coordinates):
La 0.000 0.000 0.000
Zn 0.500 0.500 0.500
As 0.000 0.000 0.500
Br 0.000 0.500 0.000
Br 0.500 0.000 0.000

* total DFT energy (no corrections): -3.43 eV/atom
* space-group type: P4/mmm (123)
* raw formation energy: -2.9 eV per formula unit


Record 12
The following is a PBE calculation of crystalline LaZnAsBr2 at its relaxed geometry, from the Alexandria database.

abc: 5.012 5.012 5.263
angles: 90.00 90.00 90.00
Atoms (fractional coordinates):
La 0.000 0.000 0.000
Zn 0.500 0.500 0.500
As 0.500 0.500 0.000
Br 0.000 0.500 0.500
Br 0.500 0.000 0.500

* total DFT energy (no corrections): -3.51 eV/atom
* space-group type: P4/mmm (123)
* raw formation energy: -3.4 eV per formula unit